Density functional theory data (PBE) for LaYLuSc after structural relaxation.

Output
Formation enthalpy at 0 K   0.08 eV/atom
Energy   -21.92 eV/cell
Density   6020 kg/m³
Size of the total moment   0.00 μB/f.u.

extended XYZ file:
```
4
Lattice="0.0000 3.9526 3.9526 3.9526 0.0000 3.9526 3.9526 3.9526 0.0000" Properties=species:S:1:pos:R:3 pbc="T T T"
La 0.0000 0.0000 0.0000
Y 3.9526 3.9526 3.9526
Lu 1.9763 1.9763 1.9763
Sc 5.9289 5.9289 5.9289
```